1.
## RbRe2Sn (PBE)

Data for RbRe2Sn after structural relaxation.

Structure (extended XYZ):
```
8
Lattice="-2.329 2.329 9.824 2.329 -2.329 9.824 2.329 2.329 -9.824" Properties=species:S:1:pos:R:3 pbc="T T T"
Rb 0.000 0.000 0.000
Rb 0.000 2.329 4.912
Re 1.165 -0.470 7.368
Re 1.859 1.165 2.456
Re 1.165 2.799 -2.456
Re 0.470 1.165 12.281
Sn 2.329 0.000 4.912
Sn 0.000 0.000 9.824
```

Results
- Magnetic moment: 0.56 μB per formula unit
- SG: I-42d
- D(E_F): 10.0 states/eV per cell
- ΔH_f (0 K): 1.48 eV per atom

---

2.
## RbRe3Sn (PBE)

Data for RbRe3Sn after structural relaxation.

Structure (extended XYZ):
```
5
Lattice="4.782 0.000 0.000 0.000 4.782 0.000 0.000 0.000 4.782" Properties=species:S:1:pos:R:3 pbc="T T T"
Rb 0.000 0.000 0.000
Re 0.000 0.000 2.391
Re 0.000 2.391 0.000
Re 2.391 0.000 0.000
Sn 2.391 2.391 2.391
```

Results
- Magnetic moment: 2.91 μB per formula unit
- Energy above the most stable polymorph in this dataset: 111.0 kJ per mole of atoms
- SG: Pm-3m
- D(E_F): 8.2 states/eV per cell
- ΔH_f (0 K): 3.93 eV per atom

---

3.
## RbRe3Sn (PBE)

Data for RbRe3Sn after structural relaxation.

Structure (extended XYZ):
```
5
Lattice="5.084 0.000 0.000 0.000 5.084 0.000 0.000 0.000 5.084" Properties=species:S:1:pos:R:3 pbc="T T T"
Rb 0.000 0.000 0.000
Re 0.000 2.542 2.542
Re 2.542 0.000 2.542
Re 2.542 2.542 0.000
Sn 2.542 2.542 2.542
```

Results
- Magnetic moment: 5.10 μB per formula unit
- Energy above the most stable polymorph in this dataset: 0.0 kJ per mole of atoms
- SG: Pm-3m
- D(E_F): 4.7 states/eV per cell
- ΔH_f (0 K): 2.77 eV per atom

---

4.
## Rb3ReSn (PBE)

Data for Rb3ReSn after structural relaxation.

Structure (extended XYZ):
```
5
Lattice="7.052 0.000 0.000 0.000 7.052 0.000 0.000 0.000 7.052" Properties=species:S:1:pos:R:3 pbc="T T T"
Rb 0.000 0.000 3.526
Rb 0.000 3.526 0.000
Rb 3.526 0.000 0.000
Re 3.526 3.526 3.526
Sn 0.000 0.000 0.000
```

Results
- Magnetic moment: 6.00 μB per formula unit
- SG: Pm-3m
- D(E_F): 6.6 states/eV per cell
- ΔH_f (0 K): 1.47 eV per atom

---

5.
## Rb2ReSn2 (PBE)

Data for Rb2ReSn2 after structural relaxation.

Structure (extended XYZ):
```
10
Lattice="10.976 0.000 0.000 0.000 10.976 0.000 0.000 0.000 3.054" Properties=species:S:1:pos:R:3 pbc="T T T"
Rb 1.348 4.140 0.000
Rb 4.140 9.628 0.000
Rb 6.836 1.348 0.000
Rb 9.628 6.836 0.000
Re 0.000 0.000 0.000
Re 5.488 5.488 0.000
Sn 1.935 7.423 1.527
Sn 3.553 1.935 1.527
Sn 7.423 9.041 1.527
Sn 9.041 3.553 1.527
```

Results
- Magnetic moment: 3.35 μB per formula unit
- Energy above the most stable polymorph in this dataset: 18.8 kJ per mole of atoms
- SG: P4/mbm
- D(E_F): 11.0 states/eV per cell
- ΔH_f (0 K): 1.39 eV per atom

---

6.
## Rb2ReSn2 (PBE)

Data for Rb2ReSn2 after structural relaxation.

Structure (extended XYZ):
```
5
Lattice="-2.105 2.105 11.211 2.105 -2.105 11.211 2.105 2.105 -11.211" Properties=species:S:1:pos:R:3 pbc="T T T"
Rb 0.000 0.000 2.222
Rb 0.000 0.000 20.200
Re 0.000 0.000 11.211
Sn 2.105 0.000 5.606
Sn 0.000 2.105 5.606
```

Results
- Magnetic moment: 3.85 μB per formula unit
- Energy above the most stable polymorph in this dataset: 0.0 kJ per mole of atoms
- SG: I4/mmm
- D(E_F): 6.5 states/eV per cell
- ΔH_f (0 K): 1.20 eV per atom

---

Listing density for the structures above in their given order: 8.983 11.584 9.639 2.658 5.368 4.968 Mg/m³.